[1]
Compound: In2SiO2
Source: the Alexandria database
Functional: PBE
Structure: optimized geometry

Cell and atoms, written as CIF:
```
data_In2SiO2
_chemical_formula_sum 'In4 Si2 O4'
_space_group_name_H-M_alt 'P 1'
_space_group_IT_number 1
_space_group_name_Hall 'P 1'
_cell_length_a 7.123
_cell_length_b 7.123
_cell_length_c 3.043
_cell_angle_alpha 90.00
_cell_angle_beta 90.00
_cell_angle_gamma 90.00
loop_
_atom_site_label
_atom_site_type_symbol
_atom_site_fract_x
_atom_site_fract_y
_atom_site_fract_z
Si1 Si 0.000 0.000 0.000
O1 O 0.374 0.126 0.500
O2 O 0.126 0.626 0.500
In1 In 0.645 0.145 0.000
In2 In 0.355 0.855 0.000
In3 In 0.855 0.645 0.000
O3 O 0.626 0.874 0.500
In4 In 0.145 0.355 0.000
Si2 Si 0.500 0.500 0.000
O4 O 0.874 0.374 0.500
```

Summary:
Offset from the most stable computed form ... 0.357 eV/atom
Space-group type ... P4/mbm (127)
Formation energy from raw total energies ... -0.1257 eV/atom
E_tot ... -4.289 eV/atom

[2]
Compound: In2SiO
Source: the Alexandria database
Functional: PBE
Structure: optimized geometry

Cell and atoms, written as CIF:
```
data_In2SiO
_chemical_formula_sum 'In4 Si2 O2'
_space_group_name_H-M_alt 'P 1'
_space_group_IT_number 1
_space_group_name_Hall 'P 1'
_cell_length_a 5.526
_cell_length_b 5.526
_cell_length_c 6.974
_cell_angle_alpha 66.66
_cell_angle_beta 66.66
_cell_angle_gamma 90.00
loop_
_atom_site_label
_atom_site_type_symbol
_atom_site_fract_x
_atom_site_fract_y
_atom_site_fract_z
In1 In 0.875 0.827 0.750
Si1 Si 0.000 0.000 0.000
In2 In 0.173 0.625 0.250
Si2 Si 0.750 0.250 0.500
O1 O 0.250 0.750 0.500
In3 In 0.375 0.423 0.750
O2 O 0.500 0.500 0.000
In4 In 0.577 0.125 0.250
```

Summary:
Offset from the most stable computed form ... 0.000 eV/atom
Space-group type ... I-42d (122)
Formation energy from raw total energies ... -0.3683 eV/atom
E_tot ... -4.333 eV/atom

[3]
Compound: InSiO2
Source: the Alexandria database
Functional: PBE
Structure: optimized geometry

Cell and atoms, written as CIF:
```
data_InSiO2
_chemical_formula_sum 'In1 Si1 O2'
_space_group_name_H-M_alt 'P 1'
_space_group_IT_number 1
_space_group_name_Hall 'P 1'
_cell_length_a 6.443
_cell_length_b 6.443
_cell_length_c 6.443
_cell_angle_alpha 28.84
_cell_angle_beta 28.84
_cell_angle_gamma 28.84
loop_
_atom_site_label
_atom_site_type_symbol
_atom_site_fract_x
_atom_site_fract_y
_atom_site_fract_z
Si1 Si 0.000 0.000 0.000
In1 In 0.500 0.500 0.500
O1 O 0.896 0.896 0.896
O2 O 0.104 0.104 0.104
```

Summary:
Offset from the most stable computed form ... 0.552 eV/atom
Space-group type ... R-3m (166)
Formation energy from raw total energies ... -1.0313 eV/atom
E_tot ... -5.551 eV/atom

[4]
Compound: In3SiO
Source: the Alexandria database
Functional: PBE
Structure: optimized geometry

Cell and atoms, written as CIF:
```
data_In3SiO
_chemical_formula_sum 'In3 Si1 O1'
_space_group_name_H-M_alt 'P 1'
_space_group_IT_number 1
_space_group_name_Hall 'P 1'
_cell_length_a 4.767
_cell_length_b 4.767
_cell_length_c 4.767
_cell_angle_alpha 90.00
_cell_angle_beta 90.00
_cell_angle_gamma 90.00
loop_
_atom_site_label
_atom_site_type_symbol
_atom_site_fract_x
_atom_site_fract_y
_atom_site_fract_z
In1 In 0.500 0.000 0.000
In2 In 0.000 0.000 0.500
O1 O 0.000 0.000 0.000
Si1 Si 0.500 0.500 0.500
In3 In 0.000 0.500 0.000
```

Summary:
Offset from the most stable computed form ... 0.000 eV/atom
Space-group type ... Pm-3m (221)
Formation energy from raw total energies ... 0.0318 eV/atom
E_tot ... -3.688 eV/atom

[5]
Compound: InSiO3
Source: the Alexandria database
Functional: PBE
Structure: optimized geometry

Cell and atoms, written as CIF:
```
data_InSiO3
_chemical_formula_sum 'In2 Si2 O6'
_space_group_name_H-M_alt 'P 1'
_space_group_IT_number 1
_space_group_name_Hall 'P 1'
_cell_length_a 4.818
_cell_length_b 4.794
_cell_length_c 6.826
_cell_angle_alpha 88.01
_cell_angle_beta 88.44
_cell_angle_gamma 60.18
loop_
_atom_site_label
_atom_site_type_symbol
_atom_site_fract_x
_atom_site_fract_y
_atom_site_fract_z
O1 O 0.884 0.125 0.355
O2 O 0.116 0.875 0.645
O3 O 0.879 0.494 0.645
O4 O 0.121 0.506 0.355
In1 In 0.505 0.509 0.199
In2 In 0.495 0.491 0.801
O5 O 0.503 0.886 0.355
O6 O 0.497 0.114 0.645
Si1 Si 0.833 0.833 0.500
Si2 Si 0.167 0.167 0.500
```

Summary:
Space-group type ... P-1 (2)
Formation energy from raw total energies ... -2.1353 eV/atom
E_tot ... -6.743 eV/atom

[6]
Compound: InSiO2
Source: the Alexandria database
Functional: PBE
Structure: optimized geometry

Cell and atoms, written as CIF:
```
data_InSiO2
_chemical_formula_sum 'In1 Si1 O2'
_space_group_name_H-M_alt 'P 1'
_space_group_IT_number 1
_space_group_name_Hall 'P 1'
_cell_length_a 4.155
_cell_length_b 4.155
_cell_length_c 4.155
_cell_angle_alpha 60.00
_cell_angle_beta 60.00
_cell_angle_gamma 60.00
loop_
_atom_site_label
_atom_site_type_symbol
_atom_site_fract_x
_atom_site_fract_y
_atom_site_fract_z
In1 In 0.500 0.500 0.500
O1 O 0.250 0.250 0.250
Si1 Si 0.000 0.000 0.000
O2 O 0.750 0.750 0.750
```

Summary:
Offset from the most stable computed form ... 1.352 eV/atom
Space-group type ... Fm-3m (225)
Formation energy from raw total energies ... -0.2309 eV/atom
E_tot ... -4.750 eV/atom

In order of appearance, total magnetization = 0.000 0.000 0.000 0.000 0.000 0.000 μB per atom.